A plane-wave DFT calculation with GGA-PBE was carried out for a relaxed VPtPb2 crystal.

Computed properties:
* excess energy over the best structure of this formula in the dataset: 0.120 eV per atom
* formation enthalpy at 0 K: 0.43 eV/atom

Cell: 7.7557 7.7557 6.2967 Å, 51.99 51.99 90.00°
Fractional positions:
Pt  0.0000  0.0000  0.0000
Pt  0.7500  0.2500  0.5000
V  0.5000  0.5000  0.0000
V  0.2500  0.7500  0.5000
Pb  0.8750  0.8923  0.7500
Pb  0.6423  0.1250  0.2500
Pb  0.3750  0.3577  0.7500
Pb  0.1077  0.6250  0.2500

=====

A plane-wave DFT calculation with GGA-PBE was carried out for a relaxed Mg2ZrTl crystal.

Computed properties:
* excess energy over the best structure of this formula in the dataset: 0.139 eV per atom
* formation enthalpy at 0 K: 0.03 eV/atom

Cell: 3.2606 4.5202 6.2687 Å, 90.00 90.00 90.00°
Fractional positions:
Zr  0.5000  0.5000  0.7500
Mg  0.0000  0.0000  0.9881
Mg  0.0000  0.0000  0.5119
Tl  0.5000  0.5000  0.2500

=====

A plane-wave DFT calculation with GGA-PBE was carried out for a relaxed CeScH3 crystal.

Cell: 5.3739 6.7828 7.0970 Å, 112.59 90.00 90.00°
Fractional positions:
H  0.5676  0.2198  0.4004
H  0.9324  0.7198  0.4004
H  0.0213  0.6262  0.9092
H  0.0676  0.2802  0.5996
H  0.9787  0.3738  0.0908
H  0.4324  0.7802  0.5996
H  0.1244  0.0913  0.1590
H  0.3756  0.5913  0.1590
H  0.8756  0.9087  0.8410
H  0.5213  0.8738  0.0908
H  0.6244  0.4087  0.8410
H  0.4787  0.1262  0.9092
Sc  0.7451  0.6235  0.1206
Sc  0.2549  0.3765  0.8794
Sc  0.7549  0.1235  0.1206
Sc  0.2451  0.8765  0.8794
Ce  0.7406  0.0518  0.6195
Ce  0.2594  0.9482  0.3805
Ce  0.7594  0.5518  0.6195
Ce  0.2406  0.4482  0.3805

=====

Number 1: size of the total moment 2.870 μB/f.u., calculated total energy -5.2163 eV/atom. Number 2: size of the total moment 0.000 μB/f.u., calculated total energy -3.4962 eV/atom. Number 3: size of the total moment 0.718 μB/f.u., calculated total energy -4.9040 eV/atom.